The following is a DFT calculation (PBE) of a relaxed WSeCl2 crystal.

Values from the calculation:
The value obtained for the uncorrected formation energy is 1065 meV/atom. The space-group type is Fm-3m, No. 225. For the volume, the calculation gives 17.527 Å³/atom. The value obtained for the density of states at the Fermi level is 3.6 states/eV per cell.

Unit cell a=4.6283 b=4.6283 c=4.6283 alpha=60.00 beta=60.00 gamma=60.00
Element x y z (fractional)
1 W 0.0000 0.0000 0.0000
2 Se 0.5000 0.5000 0.5000
3 Cl 0.2500 0.2500 0.2500
4 Cl 0.7500 0.7500 0.7500

---

The following is a DFT calculation (PBE) of a relaxed Sr5TlCu2 crystal.

Values from the calculation:
The space-group type is I4/mcm, No. 140. For the volume, the calculation gives 35.253 Å³/atom. Its formation energy is -0.1679 eV per atom. The value obtained for the density of states at the Fermi level is 10.2 states/eV per cell.

Unit cell a=9.9042 b=9.9042 c=9.9042 alpha=129.49 beta=129.49 gamma=74.22
Element x y z (fractional)
1 Sr 0.0000 0.0000 0.0000
2 Sr 0.0308 0.5308 0.8422
3 Sr 0.1886 0.0308 0.5000
4 Sr 0.3114 0.8114 0.8422
5 Sr 0.4692 0.3114 0.5000
6 Sr 0.5000 0.5000 0.0000
7 Sr 0.5308 0.6886 0.5000
8 Sr 0.6886 0.1886 0.1578
9 Sr 0.8114 0.9692 0.5000
10 Sr 0.9692 0.4692 0.1578
11 Tl 0.2500 0.2500 0.0000
12 Tl 0.7500 0.7500 0.0000
13 Cu 0.1064 0.3936 0.5000
14 Cu 0.3936 0.8936 0.2872
15 Cu 0.6064 0.1064 0.7128
16 Cu 0.8936 0.6064 0.5000

---

The following is a DFT calculation (PBE) of a relaxed Mn2OsCl crystal.

Values from the calculation:
The value obtained for the uncorrected formation energy is 861 meV/atom. The space-group type is Pmmm, No. 47. For the volume, the calculation gives 14.799 Å³/atom. The value obtained for the density of states at the Fermi level is 4.4 states/eV per cell.

Unit cell a=2.8816 b=4.3921 c=4.6773 alpha=90.00 beta=90.00 gamma=90.00
Element x y z (fractional)
1 Mn 0.0000 0.0000 0.0000
2 Mn 0.5000 0.0000 0.5000
3 Os 0.0000 0.5000 0.5000
4 Cl 0.5000 0.5000 0.0000

---

The following is a DFT calculation (PBE) of a relaxed ErCdF crystal.

Values from the calculation:
The value obtained for the uncorrected formation energy is -1556 meV/atom. The space-group type is Amm2, No. 38. For the volume, the calculation gives 24.431 Å³/atom. The value obtained for the density of states at the Fermi level is 3.6 states/eV per cell.

Unit cell a=14.3259 b=3.4376 c=3.4376 alpha=59.98 beta=90.00 gamma=90.00
Element x y z (fractional)
1 Er 0.1767 0.0000 0.0000
2 Er 0.8233 0.0000 0.0000
3 Cd 0.0000 0.3331 0.3331
4 Cd 0.5000 0.3051 0.3051
5 F 0.2658 0.3334 0.3334
6 F 0.7342 0.3334 0.3334

---

The following is a DFT calculation (PBE) of a relaxed MgSiMo3 crystal.

Values from the calculation:
The value obtained for the uncorrected formation energy is 2162 meV/atom. The space-group type is Pm-3m, No. 221. For the volume, the calculation gives 18.785 Å³/atom. The value obtained for the density of states at the Fermi level is 6.3 states/eV per cell.

Unit cell a=4.5456 b=4.5456 c=4.5456 alpha=90.00 beta=90.00 gamma=90.00
Element x y z (fractional)
1 Mg 0.0000 0.0000 0.0000
2 Si 0.5000 0.5000 0.5000
3 Mo 0.0000 0.0000 0.5000
4 Mo 0.0000 0.5000 0.0000
5 Mo 0.5000 0.0000 0.0000

---

The following is a DFT calculation (PBE) of a relaxed Cd3Rh2Au crystal.

Values from the calculation:
The space-group type is P4/mmm, No. 123. For the volume, the calculation gives 17.654 Å³/atom. Its formation energy is -0.1199 eV per atom. The value obtained for the density of states at the Fermi level is 2.8 states/eV per cell.

Unit cell a=3.3472 b=3.3472 c=9.4545 alpha=90.00 beta=90.00 gamma=90.00
Element x y z (fractional)
1 Cd 0.0000 0.0000 0.0000
2 Cd 0.0000 0.0000 0.3210
3 Cd 0.0000 0.0000 0.6790
4 Rh 0.5000 0.5000 0.1639
5 Rh 0.5000 0.5000 0.8361
6 Au 0.5000 0.5000 0.5000

---

The following is a DFT calculation (PBE) of a relaxed Na2InAgI5 crystal.

Values from the calculation:
The value obtained for the uncorrected formation energy is -666 meV/atom. The space-group type is Cmc2_1, No. 36. For the volume, the calculation gives 38.670 Å³/atom. The value obtained for the density of states at the Fermi level is 9.2 states/eV per cell.

Unit cell a=9.6213 b=9.6213 c=16.1780 alpha=90.00 beta=90.00 gamma=152.30
Element x y z (fractional)
1 Na 0.0817 0.9183 0.5000
2 Na 0.1642 0.8358 0.1094
3 Na 0.8358 0.1642 0.6094
4 Na 0.9183 0.0817 0.0000
5 In 0.4494 0.5506 0.2920
6 In 0.5506 0.4494 0.7920
7 Ag 0.2398 0.7602 0.8802
8 Ag 0.7602 0.2398 0.3802
9 I 0.0794 0.9206 0.9175
10 I 0.2479 0.7521 0.5218
11 I 0.2837 0.7163 0.2600
12 I 0.3953 0.6047 0.8602
13 I 0.4907 0.5093 0.6143
14 I 0.5093 0.4907 0.1143
15 I 0.6047 0.3953 0.3602
16 I 0.7163 0.2837 0.7600
17 I 0.7521 0.2479 0.0218
18 I 0.9206 0.0794 0.4175

---

The following is a DFT calculation (PBE) of a relaxed Zr3HgC crystal.

Values from the calculation:
The space-group type is Cmcm, No. 63. For the volume, the calculation gives 23.761 Å³/atom. Its formation energy is 0.7101 eV per atom. The value obtained for the density of states at the Fermi level is 7.4 states/eV per cell.

Unit cell a=8.4820 b=8.4820 c=5.5461 alpha=90.00 beta=90.00 gamma=143.45
Element x y z (fractional)
1 Zr 0.0000 0.0000 0.0000
2 Zr 0.0000 0.0000 0.5000
3 Zr 0.0798 0.4121 0.2500
4 Zr 0.4121 0.0798 0.7500
5 Zr 0.5879 0.9202 0.2500
6 Zr 0.9202 0.5879 0.7500
7 Hg 0.1644 0.8356 0.2500
8 Hg 0.8356 0.1644 0.7500
9 C 0.4350 0.5650 0.2500
10 C 0.5650 0.4350 0.7500